1.
A geometry-optimized KRbSc2Cu structure. Source: Alexandria via LeMat-Bulk, functional PBE.

Values from the calculation:
- Electronic total energy: -10.2 eV per formula unit
- Volume: 188.9 Å³ per cell
- Symmetry: No. 123

The structure in CIF format:
```
data_KRbSc2Cu
_cell_length_a 5.6000
_cell_length_b 6.0222
_cell_length_c 5.6000
_cell_angle_alpha 90.00
_cell_angle_beta 90.00
_cell_angle_gamma 90.00
_space_group_name_H-M_alt 'P 1'
_space_group_IT_number 1
_space_group_name_Hall 'P 1'
loop_
_atom_site_label
_atom_site_fract_x
_atom_site_fract_y
_atom_site_fract_z
Sc1 0.0000 0.0000 0.5000
Sc2 0.5000 0.0000 0.0000
K1 0.0000 0.5000 0.0000
Cu1 0.5000 0.5000 0.5000
Rb1 0.0000 0.0000 0.0000
```



2.
A geometry-optimized KRbCu2Si structure. Source: Alexandria via LeMat-Bulk, functional PBE.

Values from the calculation:
- Formation energy from raw total energies: 0.32 eV per atom
- Volume: 134.4 Å³ per cell
- Symmetry: No. 123

The structure in CIF format:
```
data_KRbCu2Si
_cell_length_a 4.7196
_cell_length_b 6.0340
_cell_length_c 4.7196
_cell_angle_alpha 90.00
_cell_angle_beta 90.00
_cell_angle_gamma 90.00
_space_group_name_H-M_alt 'P 1'
_space_group_IT_number 1
_space_group_name_Hall 'P 1'
loop_
_atom_site_label
_atom_site_fract_x
_atom_site_fract_y
_atom_site_fract_z
K1 0.0000 0.5000 0.0000
Si1 0.0000 0.0000 0.0000
Cu1 0.0000 0.0000 0.5000
Cu2 0.5000 0.0000 0.0000
Rb1 0.5000 0.5000 0.5000
```



3.
A geometry-optimized K2RbTlCu structure. Source: Alexandria via LeMat-Bulk, functional PBE.

Values from the calculation:
- Electronic total energy: -9.0 eV per formula unit
- Volume: 229.1 Å³ per cell
- Symmetry: No. 123

The structure in CIF format:
```
data_K2RbTlCu
_cell_length_a 6.6582
_cell_length_b 6.6582
_cell_length_c 5.1684
_cell_angle_alpha 90.00
_cell_angle_beta 90.00
_cell_angle_gamma 90.00
_space_group_name_H-M_alt 'P 1'
_space_group_IT_number 1
_space_group_name_Hall 'P 1'
loop_
_atom_site_label
_atom_site_fract_x
_atom_site_fract_y
_atom_site_fract_z
K1 0.0000 0.5000 0.0000
K2 0.5000 0.0000 0.0000
Tl1 0.0000 0.0000 0.5000
Cu1 0.0000 0.0000 0.0000
Rb1 0.5000 0.5000 0.5000
```